Density functional theory data (GGA-PBE) for a geometry-optimized BrO structure.

Lattice parameters (Å, degrees): 9.118 9.118 4.441 90.00 90.00 90.00
Space group P4/m (No. 83)
Unique sites:
1 Br 0.059 0.273 0.000 [4 per cell]
2 Br 0.286 0.654 0.500 [4 per cell]
3 O 0.168 0.506 0.500 [4 per cell]
4 O 0.243 0.742 0.000 [4 per cell]

Values from the calculation:
Raw formation energy   0.40 eV/atom
DFT total energy   -46.64 eV/cell